# 1
A plane-wave DFT calculation with PBE was carried out for a relaxed CsZrPCl2 crystal.

Cell: 5.7551 5.7551 5.6164 Å, 90.00 90.00 90.00°
Last column: magnetic moment on the atom in μB.
Atoms (fractional coordinates):
Cs: 0.0000 0.0000 0.0000  -0.04
Cl: 0.0000 0.5000 0.0000  -0.04
Cl: 0.5000 0.0000 0.0000  -0.04
Zr: 0.5000 0.5000 0.5000  1.48
P: 0.0000 0.0000 0.5000  -0.44

## Properties
Crystal system: tetragonal
Spin magnetization: 0.997 μB per formula unit
Mass density: 2.9 g/cm³
Energy above the lowest structure with this stoichiometry: 2.041 eV per atom

---

# 2
A plane-wave DFT calculation with PBE was carried out for a relaxed Cs2ZrPCl6 crystal.

Cell: 7.3785 7.3785 8.1628 Å, 63.13 63.13 90.00°
Last column: magnetic moment on the atom in μB.
Atoms (fractional coordinates):
Cl: 0.7598 0.7598 0.0000  0.01
Cl: 0.2402 0.7598 0.0000  0.00
Cl: 0.7993 0.7993 0.4013  0.00
Cl: 0.2402 0.2402 0.0000  0.01
Cl: 0.2007 0.2007 0.5987  0.00
Cl: 0.7598 0.2402 0.0000  0.00
Zr: 0.0000 0.0000 0.0000  0.16
Cs: 0.2500 0.7500 0.5000  0.00
Cs: 0.7500 0.2500 0.5000  0.00
P: 0.5000 0.5000 0.0000  0.35

## Properties
Crystal system: tetragonal
Spin magnetization: 1.000 μB per formula unit
Mass density: 2.9 g/cm³

---

# 3
A plane-wave DFT calculation with PBE was carried out for a relaxed CsZrP2Cl crystal.

Cell: 5.3849 5.3849 5.6480 Å, 90.00 90.00 90.00°
Last column: magnetic moment on the atom in μB.
Atoms (fractional coordinates):
P: 0.0000 0.5000 0.0000  -0.24
P: 0.5000 0.0000 0.0000  -0.24
Cl: 0.0000 0.0000 0.5000  -0.03
Zr: 0.5000 0.5000 0.5000  1.15
Cs: 0.0000 0.0000 0.0000  -0.06

## Properties
Crystal system: tetragonal
Spin magnetization: 0.479 μB per formula unit
Mass density: 3.3 g/cm³

---

# 4
A plane-wave DFT calculation with PBE was carried out for a relaxed Cs2PaCl8 crystal.

Cell: 5.0627 8.8016 11.3480 Å, 96.27 90.00 106.71°
Last column: magnetic moment on the atom in μB.
Atoms (fractional coordinates):
Cl: 0.2265 0.4531 0.5416  0.38
Cl: 0.6565 0.3130 0.0371  0.00
Cl: 0.3435 0.6870 0.9629  0.00
Cl: 0.0550 0.1100 0.1108  0.00
Cl: 0.5334 0.0667 0.7866  0.00
Cl: 0.7735 0.5469 0.4584  0.38
Cl: 0.9450 0.8900 0.8892  0.00
Cl: 0.4666 0.9333 0.2134  0.00
Pa: 0.5000 0.0000 0.0000  0.08
Cs: 0.2546 0.5091 0.2529  0.00
Cs: 0.7454 0.4909 0.7471  0.00

## Properties
Crystal system: monoclinic
Spin magnetization: 1.034 μB per formula unit
Mass density: 2.7 g/cm³
Energy above the lowest structure with this stoichiometry: 0.005 eV per atom

---

Looking at formation energy from raw total energies for the records above, in order, we have 0.817 -1.323 1.441 -1.615 eV/atom.